No. 1
The following is a PBE calculation of an optimized crystal structure of OsPtRh2, from Alexandria.

Calculated values
spin magnetization	0.0	μB/f.u.
energy above the most stable polymorph in this dataset	0.090	eV per atom
E_form	0.05	eV/atom

a = 2.7354 Å, b = 2.7354 Å, c = 7.7803 Å
α = 90.00°, β = 90.00°, γ = 90.00°
Space group P4mm (No. 99)
Unique sites:
1 Os 0.0000 0.0000 0.0000 [1 per cell]
2 Pt 0.5000 0.5000 0.2522 [1 per cell]
3 Rh 0.0000 0.0000 0.5108 [1 per cell]
4 Rh 0.5000 0.5000 0.7634 [1 per cell]

=====

No. 2
The following is a PBE calculation of an optimized crystal structure of OsRuPtRh3, from Alexandria.

Calculated values
spin magnetization	0.0	μB/f.u.
E_form	0.03	eV/atom

a = 2.7294 Å, b = 14.2539 Å, c = 8.8804 Å
α = 90.00°, β = 90.00°, γ = 90.00°
Space group Cmcm (No. 63)
Unique sites:
1 Os 0.0000 0.0551 0.2500 [4 per cell]
2 Ru 0.0000 0.5000 0.0000 [4 per cell]
3 Pt 0.0000 0.2796 0.7500 [4 per cell]
4 Rh 0.0000 0.1624 0.5013 [8 per cell]
5 Rh 0.0000 0.3931 0.2500 [4 per cell]

=====

No. 3
The following is a PBE calculation of an optimized crystal structure of OsRuPtRh, from Alexandria.

Calculated values
spin magnetization	0.0	μB/f.u.
E_form	0.02	eV/atom

a = 2.7309 Å, b = 3.8538 Å, c = 5.5038 Å
α = 90.00°, β = 90.00°, γ = 90.00°
Space group Pmm2 (No. 25)
Unique sites:
1 Os 0.0000 0.0000 0.0000 [1 per cell]
2 Ru 0.5000 0.5000 0.2294 [1 per cell]
3 Pt 0.0000 0.0000 0.4928 [1 per cell]
4 Rh 0.5000 0.5000 0.7512 [1 per cell]

=====

No. 4
The following is a PBE calculation of an optimized crystal structure of OsRu2PtRh, from Alexandria.

Calculated values
spin magnetization	5.4	μB/f.u.
E_form	2.32	eV/atom

a = 4.7520 Å, b = 4.7520 Å, c = 4.6745 Å
α = 90.00°, β = 90.00°, γ = 90.00°
Space group P4/mmm (No. 123)
Unique sites:
1 Os 0.0000 0.0000 0.0000 [1 per cell]
2 Ru 0.0000 0.5000 0.5000 [2 per cell]
3 Pt 0.0000 0.0000 0.5000 [1 per cell]
4 Rh 0.5000 0.5000 0.0000 [1 per cell]

=====

No. 5
The following is a PBE calculation of an optimized crystal structure of TaOsPtRh, from Alexandria.

Calculated values
spin magnetization	0.0	μB/f.u.
E_form	-0.50	eV/atom

a = 3.8544 Å, b = 3.9134 Å, c = 4.0330 Å
α = 90.00°, β = 90.00°, γ = 90.00°
Space group Pmmm (No. 47)
Unique sites:
1 Ta 0.0000 0.0000 0.0000 [1 per cell]
2 Os 0.5000 0.5000 0.0000 [1 per cell]
3 Pt 0.0000 0.5000 0.5000 [1 per cell]
4 Rh 0.5000 0.0000 0.5000 [1 per cell]

=====

No. 6
The following is a PBE calculation of an optimized crystal structure of TcOsPtRh, from Alexandria.

Calculated values
spin magnetization	0.0	μB/f.u.
E_form	0.09	eV/atom

a = 2.6766 Å, b = 4.2524 Å, c = 5.3400 Å
α = 90.00°, β = 104.39°, γ = 90.00°
Space group Pm (No. 6)
Unique sites:
1 Tc 0.0000 0.0000 0.0000 [1 per cell]
2 Os 0.6474 0.5000 0.2908 [1 per cell]
3 Pt 0.2551 0.0000 0.5081 [1 per cell]
4 Rh 0.3981 0.5000 0.7941 [1 per cell]

=====

What did the third record say?
The following is a PBE calculation of an optimized crystal structure of OsRuPtRh, from Alexandria.

Calculated values
spin magnetization	0.0	μB/f.u.
E_form	0.02	eV/atom

a = 2.7309 Å, b = 3.8538 Å, c = 5.5038 Å
α = 90.00°, β = 90.00°, γ = 90.00°
Space group Pmm2 (No. 25)
Unique sites:
1 Os 0.0000 0.0000 0.0000 [1 per cell]
2 Ru 0.5000 0.5000 0.2294 [1 per cell]
3 Pt 0.0000 0.0000 0.4928 [1 per cell]
4 Rh 0.5000 0.5000 0.7512 [1 per cell]